The following is a PBE-GGA calculation of LiY2Si3Au4 after structural relaxation, from Alexandria. Values from VASP.

Computed properties:
Formation energy (no corrections) (eV/atom): -0.61

```
&SYSTEM
  ibrav = 0, nat = 10, ntyp = 4
/
ATOMIC_SPECIES
Li 6.94 Li.upf
Y 88.91 Y.upf
Si 28.09 Si.upf
Au 196.97 Au.upf
CELL_PARAMETERS angstrom
4.2258 0.0000 0.0000
0.0000 4.2258 0.0000
0.0000 0.0000 10.5108
ATOMIC_POSITIONS angstrom
Li 0.0000 0.0000 0.0000
Y 0.0000 2.1129 7.8222
Y 2.1129 0.0000 2.6886
Si 0.0000 2.1129 3.7598
Si 2.1129 0.0000 6.7510
Si 2.1129 2.1129 0.0000
Au 0.0000 0.0000 5.2554
Au 0.0000 2.1129 1.3656
Au 2.1129 0.0000 9.1452
Au 2.1129 2.1129 5.2554
```